Entry 1:
PBE B2C, relaxed; E_tot = -7.08 eV per atom; space group = No. 8; formation enthalpy at 0 K = 0.44 eV per atom; offset from the most stable computed form = 258 meV per atom
1.0
7.195 -1.349 0.000
7.195 1.349 0.000
-1.446 0.000 4.487
B C
8 4
direct
0.000 0.000 0.000
0.067 0.067 0.416
0.186 0.186 0.591
0.352 0.352 0.092
0.502 0.502 0.567
0.663 0.663 0.999
0.769 0.769 0.773
0.874 0.874 0.588
0.222 0.222 0.969
0.387 0.387 0.443
0.551 0.551 0.951
0.881 0.881 0.940

***

Entry 2:
PBE LiSb2Rh, relaxed; formation energy from raw total energies = -0.345 eV per atom; E_tot = -4.72 eV per atom; space group = No. 12; offset from the most stable computed form = 6 meV per atom
1.0
4.106 -1.686 0.000
4.106 1.686 0.000
-1.297 0.000 5.920
Li Sb Rh
1 2 1
direct
0.000 0.000 0.000
0.239 0.239 0.723
0.761 0.761 0.277
0.500 0.500 0.500